AlPIr2: relaxed, PBE.

Properties
Fermi-level density of states	1.7	states/eV/f.u.
DFT formation energy	-189	meV per atom
VASP energy	-6.908	eV per atom

abc: 2.884 2.884 7.273
angles: 90.00 90.00 90.00
Space group P4mm (No. 99)
Symmetry-distinct sites (fractional):
Al 0.000 0.000 0.000
P 0.500 0.500 0.675
Ir 0.000 0.000 0.494
Ir 0.500 0.500 0.206